# PBE-GGA Pr6Tl2Cd, relaxed
# N(E_F): 30.34 states/eV/cell
# ΔH_f (0 K): -17 meV per atom
data_Pr6Tl2Cd
_cell_length_a 16.587
_cell_length_b 7.714
_cell_length_c 5.332
_cell_angle_alpha 90.00
_cell_angle_beta 106.35
_cell_angle_gamma 90.00
_space_group_name_H-M_alt 'C 1 2/m 1'
_space_group_IT_number 12
loop_
_space_group_symop_operation_xyz
'x,y,z'
'-x,-y,-z'
'-x,y,-z'
'x,-y,z'
'x+1/2,y+1/2,z'
'-x+1/2,-y+1/2,-z'
'-x+1/2,y+1/2,-z'
'x+1/2,-y+1/2,z'
loop_
_atom_site_label
_atom_site_fract_x
_atom_site_fract_y
_atom_site_fract_z
_atom_site_occupancy
Pr1 0.000 0.246 0.000 1
Pr2 0.166 0.249 0.667 1
Tl1 0.166 0.500 0.166 1
Cd1 0.000 0.000 0.500 1